Arrangement A

# TiSbSe2N

TiSbSe2N after structural relaxation (PBE, Alexandria).

The structure in CIF format:
```
data_TiSbSe2N
_chemical_formula_sum 'Ti1 Sb1 Se2 N1'
_cell_length_a 5.189
_cell_length_b 5.189
_cell_length_c 3.734
_cell_angle_alpha 90.00
_cell_angle_beta 90.00
_cell_angle_gamma 90.00
_symmetry_space_group_name_H-M 'P 4/m m m'
_symmetry_Int_Tables_number 123
_symmetry_space_group_name_Hall '-P 4 2'
loop_
_atom_site_label
_atom_site_type_symbol
_atom_site_fract_x
_atom_site_fract_y
_atom_site_fract_z
Ti1 Ti 0.000 0.000 0.000
Sb1 Sb 0.500 0.500 0.500
Se1 Se 0.000 0.500 0.000
N1 N 0.000 0.000 0.500
```

Properties
Its crystal system is tetragonal.

=====

Arrangement B

# TiSbSe2N

TiSbSe2N after structural relaxation (PBE, Alexandria).

The structure in CIF format:
```
data_TiSbSe2N
_chemical_formula_sum 'Ti1 Sb1 Se2 N1'
_cell_length_a 5.319
_cell_length_b 5.319
_cell_length_c 3.865
_cell_angle_alpha 90.00
_cell_angle_beta 90.00
_cell_angle_gamma 90.00
_symmetry_space_group_name_H-M 'P 4/m m m'
_symmetry_Int_Tables_number 123
_symmetry_space_group_name_Hall '-P 4 2'
loop_
_atom_site_label
_atom_site_type_symbol
_atom_site_fract_x
_atom_site_fract_y
_atom_site_fract_z
Ti1 Ti 0.000 0.000 0.000
Sb1 Sb 0.500 0.500 0.500
Se1 Se 0.000 0.500 0.500
N1 N 0.500 0.500 0.000
```

Properties
Its crystal system is tetragonal.

=====

Which one sits at the top of the stability order? arrangement A does.

=====

Arrangement A

# VSbSeN2

VSbSeN2 after structural relaxation (PBE, Alexandria).

The structure in CIF format:
```
data_VSbSeN2
_chemical_formula_sum 'V1 Sb1 Se1 N2'
_cell_length_a 3.907
_cell_length_b 3.907
_cell_length_c 5.070
_cell_angle_alpha 90.00
_cell_angle_beta 90.00
_cell_angle_gamma 90.00
_symmetry_space_group_name_H-M 'P 4/m m m'
_symmetry_Int_Tables_number 123
_symmetry_space_group_name_Hall '-P 4 2'
loop_
_atom_site_label
_atom_site_type_symbol
_atom_site_fract_x
_atom_site_fract_y
_atom_site_fract_z
V1 V 0.000 0.000 0.000
Sb1 Sb 0.500 0.500 0.500
Se1 Se 0.000 0.000 0.500
N1 N 0.000 0.500 0.000
```

Properties
Its crystal system is tetragonal.

=====

Arrangement B

# VSbSeN2

VSbSeN2 after structural relaxation (PBE, Alexandria).

The structure in CIF format:
```
data_VSbSeN2
_chemical_formula_sum 'V1 Sb1 Se1 N2'
_cell_length_a 3.965
_cell_length_b 3.965
_cell_length_c 5.423
_cell_angle_alpha 90.00
_cell_angle_beta 90.00
_cell_angle_gamma 90.00
_symmetry_space_group_name_H-M 'P 4/m m m'
_symmetry_Int_Tables_number 123
_symmetry_space_group_name_Hall '-P 4 2'
loop_
_atom_site_label
_atom_site_type_symbol
_atom_site_fract_x
_atom_site_fract_y
_atom_site_fract_z
V1 V 0.000 0.000 0.000
Sb1 Sb 0.500 0.500 0.500
Se1 Se 0.500 0.500 0.000
N1 N 0.000 0.500 0.500
```

Properties
Its crystal system is tetragonal.

=====

Which one sits at the top of the stability order? arrangement A does.

=====

Arrangement A

# SbWSeN2

SbWSeN2 after structural relaxation (PBE, Alexandria).

The structure in CIF format:
```
data_SbWSeN2
_chemical_formula_sum 'Sb1 W1 Se1 N2'
_cell_length_a 4.015
_cell_length_b 4.015
_cell_length_c 5.200
_cell_angle_alpha 90.00
_cell_angle_beta 90.00
_cell_angle_gamma 90.00
_symmetry_space_group_name_H-M 'P 4/m m m'
_symmetry_Int_Tables_number 123
_symmetry_space_group_name_Hall '-P 4 2'
loop_
_atom_site_label
_atom_site_type_symbol
_atom_site_fract_x
_atom_site_fract_y
_atom_site_fract_z
Sb1 Sb 0.000 0.000 0.000
W1 W 0.500 0.500 0.500
Se1 Se 0.500 0.500 0.000
N1 N 0.000 0.500 0.500
```

Properties
Its crystal system is tetragonal.

=====

Arrangement B

# SbWSeN2

SbWSeN2 after structural relaxation (PBE, Alexandria).

The structure in CIF format:
```
data_SbWSeN2
_chemical_formula_sum 'Sb1 W1 Se1 N2'
_cell_length_a 4.020
_cell_length_b 4.020
_cell_length_c 5.423
_cell_angle_alpha 90.00
_cell_angle_beta 90.00
_cell_angle_gamma 90.00
_symmetry_space_group_name_H-M 'P 4/m m m'
_symmetry_Int_Tables_number 123
_symmetry_space_group_name_Hall '-P 4 2'
loop_
_atom_site_label
_atom_site_type_symbol
_atom_site_fract_x
_atom_site_fract_y
_atom_site_fract_z
Sb1 Sb 0.000 0.000 0.000
W1 W 0.500 0.500 0.500
Se1 Se 0.000 0.000 0.500
N1 N 0.000 0.500 0.000
```

Properties
Its crystal system is tetragonal.

=====

Which one sits at the top of the stability order? arrangement A does.

=====

Arrangement A

# SiSbN2

SiSbN2 after structural relaxation (PBE, Alexandria).

The structure in CIF format:
```
data_SiSbN2
_chemical_formula_sum 'Si4 Sb4 N8'
_cell_length_a 5.092
_cell_length_b 5.092
_cell_length_c 8.272
_cell_angle_alpha 90.00
_cell_angle_beta 90.00
_cell_angle_gamma 90.00
_symmetry_space_group_name_H-M 'I -4 2 d'
_symmetry_Int_Tables_number 122
_symmetry_space_group_name_Hall 'I -4 2bw'
loop_
_atom_site_label
_atom_site_type_symbol
_atom_site_fract_x
_atom_site_fract_y
_atom_site_fract_z
Si1 Si 0.000 0.000 0.000
Sb1 Sb 0.000 0.000 0.500
N1 N 0.119 0.250 0.125
```

Properties
Its crystal system is tetragonal.

=====

Arrangement B

# SiSbN2

SiSbN2 after structural relaxation (PBE, Alexandria).

The structure in CIF format:
```
data_SiSbN2
_chemical_formula_sum 'Si3 Sb3 N6'
_cell_length_a 2.9643
_cell_length_b 2.9643
_cell_length_c 18.6826
_cell_angle_alpha 90.00
_cell_angle_beta 90.00
_cell_angle_gamma 120.00
_symmetry_space_group_name_H-M 'R -3 m'
_symmetry_Int_Tables_number 166
_symmetry_space_group_name_Hall '-R 3 2"'
loop_
_atom_site_label
_atom_site_type_symbol
_atom_site_fract_x
_atom_site_fract_y
_atom_site_fract_z
Si1 Si 0.0000 0.0000 0.0000
Sb1 Sb 0.0000 0.0000 0.5000
N1 N 0.0000 0.0000 0.3833
```

Properties
Its crystal system is trigonal.

=====

Arrangement C

# SiSbN2

SiSbN2 after structural relaxation (PBE, Alexandria).

The structure in CIF format:
```
data_SiSbN2
_chemical_formula_sum 'Si4 Sb4 N8'
_cell_length_a 5.771
_cell_length_b 5.771
_cell_length_c 5.771
_cell_angle_alpha 90.00
_cell_angle_beta 90.00
_cell_angle_gamma 90.00
_symmetry_space_group_name_H-M 'F m -3 m'
_symmetry_Int_Tables_number 225
_symmetry_space_group_name_Hall '-F 4 2 3'
loop_
_atom_site_label
_atom_site_type_symbol
_atom_site_fract_x
_atom_site_fract_y
_atom_site_fract_z
Si1 Si 0.000 0.000 0.000
Sb1 Sb 0.000 0.000 0.500
N1 N 0.250 0.250 0.250
```

Properties
Its crystal system is cubic.

=====

Which one sits at the top of the stability order? arrangement B does.

=====

Arrangement A

# SiSb2N

SiSb2N after structural relaxation (PBE, Alexandria).

The structure in CIF format:
```
data_SiSb2N
_chemical_formula_sum 'Si4 Sb8 N4'
_cell_length_a 6.610
_cell_length_b 6.610
_cell_length_c 6.610
_cell_angle_alpha 90.00
_cell_angle_beta 90.00
_cell_angle_gamma 90.00
_symmetry_space_group_name_H-M 'F m -3 m'
_symmetry_Int_Tables_number 225
_symmetry_space_group_name_Hall '-F 4 2 3'
loop_
_atom_site_label
_atom_site_type_symbol
_atom_site_fract_x
_atom_site_fract_y
_atom_site_fract_z
Si1 Si 0.000 0.000 0.000
Sb1 Sb 0.250 0.250 0.250
N1 N 0.000 0.000 0.500
```

Properties
Its crystal system is cubic.

=====

Arrangement B

# SiSb2N

SiSb2N after structural relaxation (PBE, Alexandria).

The structure in CIF format:
```
data_SiSb2N
_chemical_formula_sum 'Si4 Sb8 N4'
_cell_length_a 5.352
_cell_length_b 5.352
_cell_length_c 12.857
_cell_angle_alpha 90.00
_cell_angle_beta 90.00
_cell_angle_gamma 90.00
_symmetry_space_group_name_H-M 'I -4 2 d'
_symmetry_Int_Tables_number 122
_symmetry_space_group_name_Hall 'I -4 2bw'
loop_
_atom_site_label
_atom_site_type_symbol
_atom_site_fract_x
_atom_site_fract_y
_atom_site_fract_z
Si1 Si 0.000 0.000 0.000
Sb1 Sb 0.179 0.250 0.625
N1 N 0.000 0.000 0.500
```

Properties
Its crystal system is tetragonal.

=====

Which one sits at the top of the stability order? arrangement B does.

=====

Arrangement A

# Si2SbN

Si2SbN after structural relaxation (PBE, Alexandria).

The structure in CIF format:
```
data_Si2SbN
_chemical_formula_sum 'Si8 Sb4 N4'
_cell_length_a 4.858
_cell_length_b 4.858
_cell_length_c 11.478
_cell_angle_alpha 90.00
_cell_angle_beta 90.00
_cell_angle_gamma 90.00
_symmetry_space_group_name_H-M 'I -4 2 d'
_symmetry_Int_Tables_number 122
_symmetry_space_group_name_Hall 'I -4 2bw'
loop_
_atom_site_label
_atom_site_type_symbol
_atom_site_fract_x
_atom_site_fract_y
_atom_site_fract_z
Si1 Si 0.107 0.250 0.125
Sb1 Sb 0.000 0.000 0.500
N1 N 0.000 0.000 0.000
```

Properties
Its crystal system is tetragonal.

=====

Arrangement B

# Si2SbN

Si2SbN after structural relaxation (PBE, Alexandria).

The structure in CIF format:
```
data_Si2SbN
_chemical_formula_sum 'Si8 Sb4 N4'
_cell_length_a 6.349
_cell_length_b 6.349
_cell_length_c 6.349
_cell_angle_alpha 90.00
_cell_angle_beta 90.00
_cell_angle_gamma 90.00
_symmetry_space_group_name_H-M 'F m -3 m'
_symmetry_Int_Tables_number 225
_symmetry_space_group_name_Hall '-F 4 2 3'
loop_
_atom_site_label
_atom_site_type_symbol
_atom_site_fract_x
_atom_site_fract_y
_atom_site_fract_z
Si1 Si 0.250 0.250 0.250
Sb1 Sb 0.000 0.000 0.000
N1 N 0.000 0.000 0.500
```

Properties
Its crystal system is cubic.

=====

Which one sits at the top of the stability order? arrangement A does.